[1]
CaPr2Nd2 PBE relaxed; calculated total energy = -19.514 eV/cell; E above lowest polymorph = 1.47 eV per formula unit; volume = 193.72 Å³ per cell; formation enthalpy at 0 K = 1.6 eV/f.u.
1.0
-2.3712 2.3712 8.6136
2.3712 -2.3712 8.6136
2.3712 2.3712 -8.6136
Ca Pr Nd
1 2 2
direct
0.0000 0.0000 0.0000
0.4046 0.4046 0.0000
0.5954 0.5954 0.0000
0.2500 0.7500 0.5000
0.7500 0.2500 0.5000


[2]
Mg2FeOs PBE relaxed; calculated total energy = -21.585 eV/cell; E above lowest polymorph = 0.85 eV per formula unit; volume = 61.55 Å³ per cell; formation enthalpy at 0 K = 1.3 eV/f.u.
1.0
2.7084 0.0000 0.0000
0.0000 2.7084 0.0000
0.0000 0.0000 8.3916
Mg Fe Os
2 1 1
direct
0.0000 0.0000 0.2463
0.0000 0.0000 0.7537
0.5000 0.5000 0.0000
0.5000 0.5000 0.5000


[3]
Ac4CuPdBr2 PBE relaxed; calculated total energy = -36.046 eV/cell; volume = 278.01 Å³ per cell; energy relative to the elements, uncorrected = -0.8722 eV per atom
1.0
7.6830 0.0000 0.0000
0.0000 4.4969 0.0000
-2.5971 0.0000 8.0468
Ac Cu Pd Br
4 1 1 2
direct
0.2365 0.0000 0.2040
0.2625 0.5000 0.7966
0.7375 0.5000 0.2034
0.7635 0.0000 0.7960
0.5000 0.0000 0.0000
0.0000 0.5000 0.0000
0.0000 0.0000 0.5000
0.5000 0.5000 0.5000


[4]
Sr6Tl5Bi PBE relaxed; calculated total energy = -31.823 eV/cell; volume = 417.72 Å³ per cell; formation enthalpy at 0 K = -6.0 eV/f.u.
1.0
2.9297 -8.9008 0.0000
2.9297 8.9008 0.0000
0.0000 0.0000 8.0093
Sr Tl Bi
6 5 1
direct
0.0000 0.0000 0.2451
0.0000 0.0000 0.7549
0.3354 0.6646 0.2514
0.3354 0.6646 0.7486
0.6646 0.3354 0.2514
0.6646 0.3354 0.7486
0.1670 0.8330 0.5000
0.1794 0.8206 0.0000
0.5000 0.5000 0.5000
0.8206 0.1794 0.0000
0.8330 0.1670 0.5000
0.5000 0.5000 0.0000


Computed theoretical density (g cm⁻³) in order:
5.23 7.95 7.39 6.98